--- w ---
## RbNaSnP2 (GGA-PBE)

Data for a relaxed RbNaSnP2 crystal.

Lattice parameters (Å, degrees): 5.6302 5.6302 5.1004 90.00 90.00 90.00
Closest atoms and distances in Å follow each position.
Space group P4/mmm (No. 123)
Inequivalent atoms, fractional coordinates:
1 Rb 0.0000 0.0000 0.0000 x1  2 Na 2.55, 4 P 2.82
2 Na 0.0000 0.0000 0.5000 x1  2 Rb 2.55
3 Sn 0.5000 0.5000 0.5000 x1  8 P 3.80, 4 Na 3.98
4 P 0.0000 0.5000 0.0000 x2  2 Rb 2.82

Properties
For the theoretical density, the calculation gives 2969 kg/m3.

--- x ---
## RbNaSnP2 (GGA-PBE)

Data for a relaxed RbNaSnP2 crystal.

Lattice parameters (Å, degrees): 15.0432 4.2753 9.8733 90.00 98.24 90.00
Closest atoms and distances in Å follow each position.
Space group C2/m (No. 12)
Inequivalent atoms, fractional coordinates:
1 Rb 0.1304 0.0000 0.1597 x4  4 P 3.41-3.60
2 Na 0.1973 0.0000 0.5807 x4  4 P 2.78-2.86
3 Sn 0.0515 0.5000 0.6667 x4  4 P 2.54-2.63
4 P 0.1055 0.0000 0.8112 x4  2 Sn 2.63, 1 Na 2.83
5 P 0.1139 0.5000 0.4329 x4  2 Sn 2.54-2.61, 2 Na 2.78

Properties
For the theoretical density, the calculation gives 3056 kg/m3.

Energy ordering: x at the bottom, the next structure 1.414 eV/atom above.

--- w ---
## NaReP2 (GGA-PBE)

Data for a relaxed NaReP2 crystal.

Lattice parameters (Å, degrees): 6.1144 6.1144 6.1144 90.00 90.00 90.00
Closest atoms and distances in Å follow each position.
Space group Fm-3m (No. 225)
Inequivalent atoms, fractional coordinates:
1 Na 0.0000 0.0000 0.0000 x4  8 P 2.65
2 Re 0.0000 0.0000 0.5000 x4  8 P 2.65
3 P 0.2500 0.2500 0.2500 x8  4 Na 2.65, 4 Re 2.65

Properties
For the theoretical density, the calculation gives 7879 kg/m3.

--- x ---
## NaReP2 (GGA-PBE)

Data for a relaxed NaReP2 crystal.

Lattice parameters (Å, degrees): 2.9757 2.9757 7.2777 90.00 90.00 90.00
Closest atoms and distances in Å follow each position.
Space group P4/mmm (No. 123)
Inequivalent atoms, fractional coordinates:
1 Na 0.0000 0.0000 0.0000 x1  4 Na 2.98, 8 P 3.05
2 Re 0.0000 0.0000 0.5000 x1  8 P 2.55
3 P 0.5000 0.5000 0.3031 x2  4 Re 2.55

Properties
For the theoretical density, the calculation gives 6987 kg/m3.

--- y ---
## NaReP2 (GGA-PBE)

Data for a relaxed NaReP2 crystal.

Lattice parameters (Å, degrees): 6.1949 6.1949 10.9276 90.00 90.00 90.00
Closest atoms and distances in Å follow each position.
Space group I-42d (No. 122)
Inequivalent atoms, fractional coordinates:
1 Na 0.0000 0.0000 0.0000 x4  4 P 3.03
2 Re 0.0000 0.0000 0.5000 x4  4 P 2.25
3 P 0.1430 0.2500 0.6250 x8  2 Re 2.25

Properties
For the theoretical density, the calculation gives 4294 kg/m3.

--- z ---
## NaReP2 (GGA-PBE)

Data for a relaxed NaReP2 crystal.

Lattice parameters (Å, degrees): 3.2074 3.2074 23.2460 90.00 90.00 120.00
Closest atoms and distances in Å follow each position.
Space group R-3m (No. 166, hexagonal axes)
Inequivalent atoms, fractional coordinates:
1 Na 0.0000 0.0000 0.0000 x3  6 P 2.94, 6 Na 3.21
2 Re 0.0000 0.0000 0.5000 x3  6 P 2.44
3 P 0.0000 0.0000 0.2350 x6  3 Re 2.44

Properties
For the theoretical density, the calculation gives 6522 kg/m3.

Energy ordering: x at the bottom, the next structure 0.038 eV/atom above.

--- w ---
## NaReP2S (GGA-PBE)

Data for a relaxed NaReP2S crystal.

Lattice parameters (Å, degrees): 4.7281 4.7281 4.6923 90.00 90.00 90.00
Closest atoms and distances in Å follow each position.
Space group P4/mmm (No. 123)
Inequivalent atoms, fractional coordinates:
1 Na 0.0000 0.0000 0.0000 x1  2 S 2.35, 4 P 2.36
2 Re 0.5000 0.5000 0.5000 x1  8 P 3.33, 4 S 3.34
3 P 0.0000 0.5000 0.0000 x2  2 Na 2.36
4 S 0.0000 0.0000 0.5000 x1  2 Na 2.35

Properties
For the theoretical density, the calculation gives 4800 kg/m3.

--- x ---
## NaReP2S (GGA-PBE)

Data for a relaxed NaReP2S crystal.

Lattice parameters (Å, degrees): 4.5623 4.5623 5.1770 90.00 90.00 90.00
Closest atoms and distances in Å follow each position.
Space group P4/mmm (No. 123)
Inequivalent atoms, fractional coordinates:
1 Na 0.0000 0.0000 0.0000 x1  4 S 3.23, 8 P 3.45
2 Re 0.5000 0.5000 0.5000 x1  4 P 2.28
3 P 0.0000 0.5000 0.5000 x2  2 Re 2.28
4 S 0.5000 0.5000 0.0000 x1  2 Re 2.59

Properties
For the theoretical density, the calculation gives 4672 kg/m3.

Energy ordering: x at the bottom, the next structure 1.889 eV/atom above.

--- w ---
## NaP2Rh (GGA-PBE)

Data for a relaxed NaP2Rh crystal.

Lattice parameters (Å, degrees): 6.1828 6.1828 6.1828 90.00 90.00 90.00
Closest atoms and distances in Å follow each position.
Space group Fm-3m (No. 225)
Inequivalent atoms, fractional coordinates:
1 Na 0.0000 0.0000 0.0000 x4  8 P 2.68
2 P 0.2500 0.2500 0.2500 x8  4 Rh 2.68, 4 Na 2.68
3 Rh 0.0000 0.0000 0.5000 x4  8 P 2.68

Properties
For the theoretical density, the calculation gives 5279 kg/m3.

--- x ---
## NaP2Rh (GGA-PBE)

Data for a relaxed NaP2Rh crystal.

Lattice parameters (Å, degrees): 4.0329 4.0329 19.9823 90.00 90.00 120.00
Closest atoms and distances in Å follow each position.
Space group R-3m (No. 166, hexagonal axes)
Inequivalent atoms, fractional coordinates:
1 Na 0.0000 0.0000 0.0000 x3  2 P 2.71
2 P 0.0000 0.0000 0.1355 x6  3 Rh 2.41, 3 P 2.64
3 Rh 0.0000 0.0000 0.5000 x3  6 P 2.41

Properties
For the theoretical density, the calculation gives 3325 kg/m3.

Energy ordering: x at the bottom, the next structure 0.108 eV/atom above.